A plane-wave DFT calculation with PBE-GGA was carried out for Pm2Sm3Ho5 after structural relaxation.

Summary:
**E_form**: 0.396 eV/atom
**Energy above the lowest structure with this stoichiometry**: 208 meV/atom
**Crystal system**: orthorhombic
**Symmetry**: No. 72
**Electronic total energy**: -85.167 eV per cell

Cell: 9.9226 9.9226 9.9226 Å, 123.40 93.19 113.19°
With the nearest neighbours (Å) after each atom.
Fractional coordinates of all 20 atoms:
Pm  0.1242  0.1041  0.2283  1 Ho 2.92
Pm  0.3758  0.6041  0.9799  1 Ho 2.92
Pm  0.6242  0.3959  0.0201  1 Ho 2.92
Pm  0.8758  0.8959  0.7717  1 Ho 2.92
Sm  0.1279  0.7517  0.8796  1 Ho 3.17, 1 Pm 3.32
Sm  0.2500  0.2500  0.0000  4 Pm 3.36, 2 Ho 3.43
Sm  0.3721  0.2517  0.6238  1 Ho 3.17, 1 Pm 3.32
Sm  0.6279  0.7483  0.3762  1 Ho 3.17, 1 Pm 3.32
Sm  0.7500  0.7500  0.0000  4 Pm 3.36, 2 Ho 3.43
Sm  0.8721  0.2483  0.1204  1 Ho 3.17, 1 Pm 3.32
Ho  0.0013  0.7500  0.2513  3 Ho 3.33-3.39, 2 Pm 3.38, 1 Sm 3.43
Ho  0.1226  0.4143  0.5369  1 Pm 2.92, 1 Sm 3.17
Ho  0.2500  0.7500  0.5000  6 Ho 3.30-3.39
Ho  0.3774  0.9143  0.2917  1 Pm 2.92, 1 Sm 3.17
Ho  0.4987  0.7500  0.7487  3 Ho 3.33-3.39, 2 Pm 3.38, 1 Sm 3.43
Ho  0.5013  0.2500  0.2513  3 Ho 3.33-3.39, 2 Pm 3.38, 1 Sm 3.43
Ho  0.6226  0.0857  0.7083  1 Pm 2.92, 1 Sm 3.17
Ho  0.7500  0.2500  0.5000  6 Ho 3.30-3.39
Ho  0.8774  0.5857  0.4631  1 Pm 2.92, 1 Sm 3.17
Ho  0.9987  0.2500  0.7487  3 Ho 3.33-3.39, 2 Pm 3.38, 1 Sm 3.43

***

A plane-wave DFT calculation with PBE-GGA was carried out for Pm4SmHo5 after structural relaxation.

Summary:
**E_form**: 0.247 eV/atom
**Energy above the lowest structure with this stoichiometry**: 56 meV/atom
**Crystal system**: tetragonal
**Symmetry**: No. 107
**Electronic total energy**: -44.138 eV per cell

Cell: 8.0898 8.0898 8.0898 Å, 97.84 97.84 136.66°
With the nearest neighbours (Å) after each atom.
Fractional coordinates of all 10 atoms:
Pm  0.0000  0.3248  0.3248  3 Ho 3.31-3.70
Pm  0.0000  0.6752  0.6752  3 Ho 3.31-3.70
Pm  0.3248  0.0000  0.3248  3 Ho 3.31-3.70
Pm  0.6752  0.0000  0.6752  3 Ho 3.31-3.70
Sm  0.2520  0.2520  0.0000  2 Ho 2.83-3.15
Ho  0.3282  0.3282  0.6216  3 Ho 3.24-3.50, 1 Sm 3.26, 2 Pm 3.31
Ho  0.3282  0.7066  0.0000  3 Ho 3.24-3.50, 1 Sm 3.26, 2 Pm 3.31
Ho  0.7066  0.3282  0.0000  3 Ho 3.24-3.50, 1 Sm 3.26, 2 Pm 3.31
Ho  0.7066  0.7066  0.3784  3 Ho 3.24-3.50, 1 Sm 3.26, 2 Pm 3.31
Ho  0.7786  0.7786  0.0000  2 Sm 2.83-3.15

***

A plane-wave DFT calculation with PBE-GGA was carried out for PmSm6Ho8 after structural relaxation.

Summary:
**E_form**: 0.127 eV/atom
**Crystal system**: trigonal
**Symmetry**: No. 148
**Electronic total energy**: -67.785 eV per cell

Cell: 8.6699 8.6699 8.6699 Å, 63.13 63.13 63.13°
With the nearest neighbours (Å) after each atom.
Fractional coordinates of all 15 atoms:
Pm  0.0000  0.0000  0.0000  6 Sm 3.46, 6 Ho 3.54
Sm  0.1064  0.2279  0.5379  4 Ho 3.39-3.73, 1 Pm 3.46, 4 Sm 3.50-3.78
Sm  0.2279  0.5379  0.1064  4 Ho 3.39-3.73, 1 Pm 3.46, 4 Sm 3.50-3.78
Sm  0.4621  0.8936  0.7721  4 Ho 3.39-3.73, 1 Pm 3.46, 4 Sm 3.50-3.78
Sm  0.5379  0.1064  0.2279  4 Ho 3.39-3.73, 1 Pm 3.46, 4 Sm 3.50-3.78
Sm  0.7721  0.4621  0.8936  4 Ho 3.39-3.73, 1 Pm 3.46, 4 Sm 3.50-3.78
Sm  0.8936  0.7721  0.4621  4 Ho 3.39-3.73, 1 Pm 3.46, 4 Sm 3.50-3.78
Ho  0.1115  0.7452  0.7190  3 Sm 3.39-3.73, 5 Ho 3.42-3.45, 1 Pm 3.54
Ho  0.2548  0.2810  0.8885  3 Sm 3.39-3.73, 5 Ho 3.42-3.45, 1 Pm 3.54
Ho  0.2810  0.8885  0.2548  3 Sm 3.39-3.73, 5 Ho 3.42-3.45, 1 Pm 3.54
Ho  0.4235  0.4235  0.4235  4 Ho 3.17-3.42, 3 Sm 3.41
Ho  0.5765  0.5765  0.5765  4 Ho 3.17-3.42, 3 Sm 3.41
Ho  0.7190  0.1115  0.7452  3 Sm 3.39-3.73, 5 Ho 3.42-3.45, 1 Pm 3.54
Ho  0.7452  0.7190  0.1115  3 Sm 3.39-3.73, 5 Ho 3.42-3.45, 1 Pm 3.54
Ho  0.8885  0.2548  0.2810  3 Sm 3.39-3.73, 5 Ho 3.42-3.45, 1 Pm 3.54

***

A plane-wave DFT calculation with PBE-GGA was carried out for TbPm2Sm3Ho6 after structural relaxation.

Summary:
**E_form**: 0.014 eV/atom
**Crystal system**: monoclinic
**Symmetry**: No. 12
**Electronic total energy**: -55.584 eV per cell

Cell: 6.1967 6.1967 11.7876 Å, 95.01 95.01 119.98°
With the nearest neighbours (Å) after each atom.
Fractional coordinates of all 12 atoms:
Tb  0.0000  0.0000  0.0000  6 Ho 3.56, 6 Pm 3.58
Pm  0.3334  0.6666  0.0000  6 Ho 3.56, 3 Pm 3.58, 3 Tb 3.58
Pm  0.6666  0.3334  0.0000  6 Ho 3.56, 3 Pm 3.58, 3 Tb 3.58
Sm  0.1667  0.8333  0.5000  6 Ho 3.56, 6 Sm 3.58
Sm  0.5000  0.5000  0.5000  6 Ho 3.56, 6 Sm 3.58
Sm  0.8333  0.1667  0.5000  6 Ho 3.56, 6 Sm 3.58
Ho  0.0837  0.4167  0.2498  2 Pm 3.56, 1 Tb 3.56, 3 Sm 3.56, 6 Ho 3.57-3.58
Ho  0.2492  0.2492  0.7500  1 Tb 3.56, 3 Sm 3.56, 2 Pm 3.56, 6 Ho 3.57-3.58
Ho  0.4167  0.0837  0.2498  2 Pm 3.56, 1 Tb 3.56, 3 Sm 3.56, 6 Ho 3.57-3.58
Ho  0.5833  0.9163  0.7502  2 Pm 3.56, 1 Tb 3.56, 3 Sm 3.56, 6 Ho 3.57-3.58
Ho  0.7508  0.7508  0.2500  1 Tb 3.56, 3 Sm 3.56, 2 Pm 3.56, 6 Ho 3.57-3.58
Ho  0.9163  0.5833  0.7502  2 Pm 3.56, 1 Tb 3.56, 3 Sm 3.56, 6 Ho 3.57-3.58

***

A plane-wave DFT calculation with PBE-GGA was carried out for Tb2Pm6SmHo3 after structural relaxation.

Summary:
**E_form**: 0.013 eV/atom
**Crystal system**: monoclinic
**Symmetry**: No. 12
**Electronic total energy**: -56.063 eV per cell

Cell: 6.2482 6.2482 11.8785 Å, 95.01 95.01 119.99°
With the nearest neighbours (Å) after each atom.
Fractional coordinates of all 12 atoms:
Tb  0.1666  0.8334  0.0000  6 Pm 3.60-3.61, 3 Tb 3.61, 3 Sm 3.61
Tb  0.8334  0.1666  0.0000  6 Pm 3.60-3.61, 3 Tb 3.61, 3 Sm 3.61
Pm  0.0822  0.4159  0.7483  3 Ho 3.57, 2 Tb 3.60-3.61, 6 Pm 3.61, 1 Sm 3.61
Pm  0.2505  0.2505  0.2517  3 Ho 3.57-3.58, 6 Pm 3.61, 1 Sm 3.61, 2 Tb 3.61
Pm  0.4159  0.0822  0.7483  3 Ho 3.57, 2 Tb 3.60-3.61, 6 Pm 3.61, 1 Sm 3.61
Pm  0.5841  0.9178  0.2517  3 Ho 3.57, 2 Tb 3.60-3.61, 6 Pm 3.61, 1 Sm 3.61
Pm  0.7495  0.7495  0.7483  3 Ho 3.57-3.58, 6 Pm 3.61, 1 Sm 3.61, 2 Tb 3.61
Pm  0.9178  0.5841  0.2517  3 Ho 3.57, 2 Tb 3.60-3.61, 6 Pm 3.61, 1 Sm 3.61
Sm  0.5000  0.5000  0.0000  6 Pm 3.61, 6 Tb 3.61
Ho  0.0000  0.0000  0.5000  6 Pm 3.57, 6 Ho 3.61
Ho  0.3332  0.6668  0.5000  6 Pm 3.57-3.58, 6 Ho 3.61
Ho  0.6668  0.3332  0.5000  6 Pm 3.57-3.58, 6 Ho 3.61

***

A plane-wave DFT calculation with PBE-GGA was carried out for Tb2PmSmHo6 after structural relaxation.

Summary:
**E_form**: 0.123 eV/atom
**Crystal system**: monoclinic
**Symmetry**: No. 15
**Electronic total energy**: -89.924 eV per cell

Cell: 8.7635 8.7635 9.6052 Å, 94.14 94.14 117.85°
With the nearest neighbours (Å) after each atom.
Fractional coordinates of all 20 atoms:
Tb  0.1933  0.2974  0.0441  6 Ho 3.27-3.59, 2 Sm 3.37, 1 Pm 3.56
Tb  0.2974  0.1933  0.5441  6 Ho 3.27-3.59, 2 Sm 3.37, 1 Pm 3.56
Tb  0.7026  0.8067  0.4559  6 Ho 3.27-3.59, 2 Sm 3.37, 1 Pm 3.56
Tb  0.8067  0.7026  0.9559  6 Ho 3.27-3.59, 2 Sm 3.37, 1 Pm 3.56
Pm  0.4072  0.5928  0.7500  8 Ho 3.42-3.79, 2 Tb 3.56
Pm  0.5928  0.4072  0.2500  8 Ho 3.42-3.79, 2 Tb 3.56
Sm  0.0233  0.9767  0.2500  4 Tb 3.37, 4 Ho 3.57-3.67
Sm  0.9767  0.0233  0.7500  4 Tb 3.37, 4 Ho 3.57-3.67
Ho  0.0246  0.5718  0.1823  2 Ho 3.20-3.56, 1 Tb 3.39, 1 Pm 3.49, 1 Sm 3.57
Ho  0.1217  0.7472  0.5570  7 Ho 3.39-3.73, 1 Tb 3.48, 1 Sm 3.67
Ho  0.2528  0.8783  0.9430  7 Ho 3.39-3.73, 1 Tb 3.48, 1 Sm 3.67
Ho  0.2927  0.5062  0.3800  4 Ho 3.20-3.52, 3 Tb 3.27-3.43, 2 Pm 3.42-3.55
Ho  0.4282  0.9754  0.3177  2 Ho 3.20-3.56, 1 Tb 3.39, 1 Pm 3.49, 1 Sm 3.57
Ho  0.4938  0.7073  0.1200  4 Ho 3.20-3.52, 3 Tb 3.27-3.43, 2 Pm 3.42-3.55
Ho  0.5062  0.2927  0.8800  4 Ho 3.20-3.52, 3 Tb 3.27-3.43, 2 Pm 3.42-3.55
Ho  0.5718  0.0246  0.6823  2 Ho 3.20-3.56, 1 Tb 3.39, 1 Pm 3.49, 1 Sm 3.57
Ho  0.7073  0.4938  0.6200  4 Ho 3.20-3.52, 3 Tb 3.27-3.43, 2 Pm 3.42-3.55
Ho  0.7472  0.1217  0.0570  7 Ho 3.39-3.73, 1 Tb 3.48, 1 Sm 3.67
Ho  0.8783  0.2528  0.4430  7 Ho 3.39-3.73, 1 Tb 3.48, 1 Sm 3.67
Ho  0.9754  0.4282  0.8177  2 Ho 3.20-3.56, 1 Tb 3.39, 1 Pm 3.49, 1 Sm 3.57

***

A plane-wave DFT calculation with PBE-GGA was carried out for TbPm3Sm2Ho6 after structural relaxation.

Summary:
**E_form**: 0.014 eV/atom
**Crystal system**: monoclinic
**Symmetry**: No. 12
**Electronic total energy**: -55.615 eV per cell

Cell: 6.2013 6.2013 11.7870 Å, 95.01 95.01 119.98°
With the nearest neighbours (Å) after each atom.
Fractional coordinates of all 12 atoms:
Tb  0.0000  0.0000  0.0000  6 Ho 3.55, 6 Sm 3.58
Pm  0.1667  0.8333  0.5000  6 Ho 3.57, 6 Pm 3.58
Pm  0.5000  0.5000  0.5000  6 Ho 3.57, 6 Pm 3.58
Pm  0.8333  0.1667  0.5000  6 Ho 3.57, 6 Pm 3.58
Sm  0.3334  0.6666  0.0000  6 Ho 3.55, 3 Sm 3.58, 3 Tb 3.58
Sm  0.6666  0.3334  0.0000  6 Ho 3.55, 3 Sm 3.58, 3 Tb 3.58
Ho  0.0832  0.4163  0.2488  2 Sm 3.55, 1 Tb 3.55, 3 Pm 3.57, 6 Ho 3.58
Ho  0.2498  0.2498  0.7511  1 Tb 3.55, 2 Sm 3.55, 3 Pm 3.57, 6 Ho 3.58
Ho  0.4163  0.0832  0.2488  2 Sm 3.55, 1 Tb 3.55, 3 Pm 3.57, 6 Ho 3.58
Ho  0.5837  0.9168  0.7512  2 Sm 3.55, 1 Tb 3.55, 3 Pm 3.57, 6 Ho 3.58
Ho  0.7502  0.7502  0.2489  1 Tb 3.55, 2 Sm 3.55, 3 Pm 3.57, 6 Ho 3.58
Ho  0.9168  0.5837  0.7512  2 Sm 3.55, 1 Tb 3.55, 3 Pm 3.57, 6 Ho 3.58

***

A plane-wave DFT calculation with PBE-GGA was carried out for Tb2PmSm5Ho after structural relaxation.

Summary:
**E_form**: 0.146 eV/atom
**Crystal system**: orthorhombic
**Symmetry**: No. 36
**Electronic total energy**: -81.742 eV per cell

Cell: 10.5181 10.5181 10.6906 Å, 90.00 90.00 148.83°
With the nearest neighbours (Å) after each atom.
Fractional coordinates of all 18 atoms:
Tb  0.1105  0.8895  0.5000  7 Sm 3.44-3.82, 1 Pm 3.45, 2 Ho 3.71
Tb  0.1158  0.8842  0.0820  9 Sm 3.35-3.74, 1 Pm 3.73
Tb  0.8842  0.1158  0.5820  9 Sm 3.35-3.74, 1 Pm 3.73
Tb  0.8895  0.1105  0.0000  7 Sm 3.44-3.82, 1 Pm 3.45, 2 Ho 3.71
Pm  0.2011  0.7989  0.7734  2 Tb 3.45-3.73, 8 Sm 3.51-3.86, 2 Ho 3.67
Pm  0.7989  0.2011  0.2734  2 Tb 3.45-3.73, 8 Sm 3.51-3.86, 2 Ho 3.67
Sm  0.0167  0.9833  0.7864  2 Ho 3.26, 3 Tb 3.44-3.60
Sm  0.2812  0.7188  0.0719  1 Ho 3.08, 1 Tb 3.35, 2 Sm 3.43
Sm  0.2984  0.7016  0.4687  3 Sm 3.43-3.69, 1 Ho 3.50, 3 Pm 3.51-3.81, 3 Tb 3.53-3.82
Sm  0.3917  0.6083  0.7881  6 Sm 3.49-3.90, 4 Tb 3.59-3.62, 1 Pm 3.86
Sm  0.4795  0.5205  0.5048  2 Ho 3.20-3.34, 2 Sm 3.49-3.51, 2 Tb 3.52
Sm  0.5205  0.4795  0.0048  2 Ho 3.20-3.34, 2 Sm 3.49-3.51, 2 Tb 3.52
Sm  0.6083  0.3917  0.2881  6 Sm 3.49-3.90, 4 Tb 3.59-3.62, 1 Pm 3.86
Sm  0.7016  0.2984  0.9687  3 Sm 3.43-3.69, 1 Ho 3.50, 3 Pm 3.51-3.81, 3 Tb 3.53-3.82
Sm  0.7188  0.2812  0.5719  1 Ho 3.08, 1 Tb 3.35, 2 Sm 3.43
Sm  0.9833  0.0167  0.2864  2 Ho 3.26, 3 Tb 3.44-3.60
Ho  0.4111  0.5889  0.2210  5 Sm 3.08-3.34
Ho  0.5889  0.4111  0.7210  5 Sm 3.08-3.34

***

A plane-wave DFT calculation with PBE-GGA was carried out for TbPm2SmHo4 after structural relaxation.

Summary:
**E_form**: 0.424 eV/atom
**Crystal system**: monoclinic
**Symmetry**: No. 15
**Electronic total energy**: -67.546 eV per cell

Cell: 9.5135 9.5135 6.8158 Å, 110.99 110.99 88.44°
With the nearest neighbours (Å) after each atom.
Fractional coordinates of all 16 atoms:
Tb  0.0000  0.0000  0.0000  6 Ho 3.29-3.39, 2 Tb 3.41
Tb  0.0000  0.0000  0.5000  6 Ho 3.29-3.39, 2 Tb 3.41
Pm  0.0000  0.5000  0.0000  6 Ho 3.32-3.41, 2 Sm 3.41
Pm  0.5000  0.0000  0.5000  6 Ho 3.32-3.41, 2 Sm 3.41
Pm  0.5000  0.5000  0.0000  6 Ho 3.34-3.43, 2 Pm 3.41
Pm  0.5000  0.5000  0.5000  6 Ho 3.34-3.43, 2 Pm 3.41
Sm  0.0000  0.5000  0.5000  6 Ho 3.32-3.41, 2 Pm 3.41
Sm  0.5000  0.0000  0.0000  6 Ho 3.32-3.41, 2 Pm 3.41
Ho  0.2478  0.2481  0.4970  1 Sm 3.32, 3 Pm 3.32-3.43, 2 Tb 3.38-3.39, 2 Ho 3.41
Ho  0.2481  0.2478  0.9970  1 Sm 3.32, 3 Pm 3.32-3.43, 2 Tb 3.38-3.39, 2 Ho 3.41
Ho  0.2480  0.7520  0.9998  1 Tb 3.29, 3 Pm 3.34-3.41, 2 Ho 3.40-3.41, 2 Sm 3.41
Ho  0.2480  0.7520  0.5002  1 Tb 3.29, 3 Pm 3.34-3.41, 2 Ho 3.40-3.41, 2 Sm 3.41
Ho  0.7520  0.2480  0.0002  1 Tb 3.29, 3 Pm 3.34-3.41, 2 Ho 3.40-3.41, 2 Sm 3.41
Ho  0.7520  0.2480  0.4998  1 Tb 3.29, 3 Pm 3.34-3.41, 2 Ho 3.40-3.41, 2 Sm 3.41
Ho  0.7519  0.7522  0.0030  1 Sm 3.32, 3 Pm 3.32-3.43, 2 Tb 3.38-3.39, 2 Ho 3.41
Ho  0.7522  0.7519  0.5030  1 Sm 3.32, 3 Pm 3.32-3.43, 2 Tb 3.38-3.39, 2 Ho 3.41

***

A plane-wave DFT calculation with PBE-GGA was carried out for TbPm2Sm4Ho2 after structural relaxation.

Summary:
**E_form**: 0.075 eV/atom
**Crystal system**: triclinic
**Symmetry**: No. 2
**Electronic total energy**: -41.490 eV per cell

Cell: 6.0596 6.6910 8.6665 Å, 80.07 70.67 64.83°
With the nearest neighbours (Å) after each atom.
Fractional coordinates of all 9 atoms:
Tb  0.0000  0.0000  0.0000  4 Sm 3.35-3.63, 2 Pm 3.50
Pm  0.2690  0.6758  0.6568  5 Sm 3.44-3.74, 1 Tb 3.50, 4 Ho 3.50-3.57, 1 Pm 3.51
Pm  0.7310  0.3242  0.3432  5 Sm 3.44-3.74, 1 Tb 3.50, 4 Ho 3.50-3.57, 1 Pm 3.51
Sm  0.2650  0.4171  0.1159  4 Sm 3.39-3.77, 2 Pm 3.44-3.74, 2 Ho 3.57-3.75, 1 Tb 3.63
Sm  0.3749  0.8709  0.2436  1 Tb 3.35, 3 Ho 3.44-3.53, 2 Sm 3.47-3.49, 3 Pm 3.49-3.71
Sm  0.6251  0.1291  0.7564  1 Tb 3.35, 3 Ho 3.44-3.53, 2 Sm 3.47-3.49, 3 Pm 3.49-3.71
Sm  0.7350  0.5829  0.8841  4 Sm 3.39-3.77, 2 Pm 3.44-3.74, 2 Ho 3.57-3.75, 1 Tb 3.63
Ho  0.1803  0.2297  0.5569  5 Sm 3.44-3.75, 4 Pm 3.50-3.57, 2 Ho 3.51-3.72
Ho  0.8197  0.7703  0.4431  5 Sm 3.44-3.75, 4 Pm 3.50-3.57, 2 Ho 3.51-3.72

***

Which of these has the lowest electronic total energy? Tb2PmSmHo6